RbScSb2Te | PBE | optimized geometry

Relative energy among the computed polymorphs in eV per formula unit: 0.00

abc: 5.588 5.588 5.747
angles: 90.00 90.00 90.00
Atoms (fractional coordinates):
Sc 0.000 0.000 0.000
Sb 0.000 0.500 0.000
Sb 0.500 0.000 0.000
Te 0.000 0.000 0.500
Rb 0.500 0.500 0.500

MoRuCl2 | PBE | optimized geometry

Relative energy among the computed polymorphs in eV per formula unit: 0.00

abc: 3.617 3.617 9.267
angles: 74.50 74.50 49.57
Atoms (fractional coordinates):
Ru 0.292 0.292 0.289
Mo 0.461 0.461 0.462
Cl 0.942 0.942 0.078
Cl 0.806 0.806 0.671

KNpBeO6 | PBE | optimized geometry

VASP energy in eV for the cell shown: -64.0

abc: 5.032 5.032 6.164
angles: 89.99 90.02 60.06
Site moments in Bohr magnetons follow the coordinates.
Atoms (fractional coordinates):
K 0.000 0.000 0.000  0.00
Np 0.667 0.667 0.500  0.15
Be 0.333 0.333 0.500  -0.01
O 0.019 0.363 0.328  0.25
O 0.363 0.019 0.672  0.25
O 0.618 0.364 0.672  0.25
O 0.018 0.619 0.672  0.25
O 0.364 0.618 0.328  0.25
O 0.619 0.018 0.328  0.25

Ac2Ge4RhAu3 | PBE | optimized geometry

Formation energy from the elements in meV/atom: -628

abc: 4.557 4.557 10.525
angles: 90.00 90.00 90.00
Atoms (fractional coordinates):
Ac 0.500 0.000 0.256
Ac 0.000 0.500 0.744
Ge 0.500 0.500 0.000
Ge 0.000 0.000 0.000
Ge 0.500 0.000 0.620
Ge 0.000 0.500 0.380
Rh 0.500 0.500 0.500
Au 0.000 0.000 0.500
Au 0.500 0.000 0.867
Au 0.000 0.500 0.133

Lu3Re | PBE | optimized geometry

Formation energy from the elements in meV/atom: 433
Relative energy among the computed polymorphs in eV per formula unit: 1.38

abc: 3.519 3.160 9.434
angles: 90.00 90.00 90.00
Atoms (fractional coordinates):
Re 0.000 0.000 0.972
Lu 0.000 0.500 0.472
Lu 0.500 0.500 0.140
Lu 0.500 0.000 0.750

Sc2Ga2H | PBE | optimized geometry

Relative energy among the computed polymorphs in eV per formula unit: 0.15

abc: 4.374 5.681 7.239
angles: 90.00 107.58 90.00
Atoms (fractional coordinates):
Sc 0.420 0.390 0.840
Sc 0.830 0.004 0.660
Sc 0.170 0.504 0.340
Sc 0.580 0.890 0.160
Ga 0.983 0.681 0.966
Ga 0.801 0.508 0.602
Ga 0.199 0.008 0.398
Ga 0.017 0.181 0.034
H 0.360 0.053 0.719
H 0.640 0.553 0.281

NaCa2Ga | PBE | optimized geometry

Formation energy from the elements in meV/atom: -111

abc: 3.903 3.903 10.754
angles: 79.54 79.54 60.00
Atoms (fractional coordinates):
Na 0.500 0.500 0.499
Ca 0.065 0.065 0.804
Ca 0.268 0.268 0.197
Ga 0.666 0.666 0.001

InSb2Rh | PBE | optimized geometry

VASP energy in eV for the cell shown: -17.6

abc: 4.316 4.316 4.849
angles: 90.00 90.00 90.00
Atoms (fractional coordinates):
In 0.500 0.500 0.500
Sb 0.000 0.500 0.000
Sb 0.500 0.000 0.000
Rh 0.000 0.000 0.500